Version i
A plane-wave DFT calculation with GGA-PBE was carried out for a relaxed BaI2O crystal.

```
BaI2O
1.0
0.0000 4.1221 4.1221
4.1221 0.0000 4.1221
4.1221 4.1221 0.0000
I Ba O
2 1 1
direct
0.2500 0.2500 0.2500 I
0.7500 0.7500 0.7500 I
0.5000 0.5000 0.5000 Ba
0.0000 0.0000 0.0000 O
```

Output
Fermi-level density of states in states/eV per atom: 4.503
Calculated density in g/cm3: 4.826
Magnetization in μB per formula unit: 2.00


Version ii
A plane-wave DFT calculation with GGA-PBE was carried out for a relaxed BaI2O crystal.

```
BaI2O
1.0
4.6041 0.0000 0.0000
0.0000 9.8255 0.0000
0.0000 0.0000 12.2808
I Ba O
8 4 4
direct
0.7500 0.1332 0.1020 I
0.7500 0.6332 0.3980 I
0.2500 0.8668 0.8980 I
0.2500 0.3668 0.6020 I
0.7500 0.0496 0.6494 I
0.7500 0.5496 0.8506 I
0.2500 0.9504 0.3506 I
0.2500 0.4504 0.1494 I
0.2500 0.2273 0.8774 Ba
0.2500 0.7273 0.6226 Ba
0.7500 0.7727 0.1226 Ba
0.7500 0.2727 0.3774 Ba
0.7500 0.3489 0.8560 O
0.7500 0.8489 0.6440 O
0.2500 0.6511 0.1440 O
0.2500 0.1511 0.3560 O
```

Output
Fermi-level density of states in states/eV per atom: 0.000
Calculated density in g/cm3: 4.868
Magnetization in μB per formula unit: 0.00


What should be chosen as the most stable of them? Choose version ii.


Version i
A plane-wave DFT calculation with GGA-PBE was carried out for a relaxed Ba2IO6 crystal.

```
Ba2IO6
1.0
5.1899 0.0015 2.9948
1.7273 4.8941 2.9948
0.0000 0.0000 5.9935
Ba I O
2 1 6
direct
0.2500 0.2500 0.2499 Ba
0.7500 0.7500 0.7501 Ba
0.5000 0.5000 0.5000 I
0.2761 0.2761 0.7233 O
0.2764 0.7241 0.2759 O
0.7236 0.2759 0.7241 O
0.7241 0.2764 0.2759 O
0.2759 0.7236 0.7241 O
0.7239 0.7239 0.2767 O
```

Output
Fermi-level density of states in states/eV per atom: 0.844
Calculated density in g/cm3: 5.428
Magnetization in μB per formula unit: 1.07


Version ii
A plane-wave DFT calculation with GGA-PBE was carried out for a relaxed Ba2IO6 crystal.

```
Ba2IO6
1.0
4.3531 0.0000 -0.1744
0.0000 5.9072 0.0000
-1.9448 -2.9536 5.8755
Ba I O
2 1 6
direct
0.6635 0.6635 0.3270 Ba
0.3365 0.3365 0.6730 Ba
0.0000 0.0000 0.0000 I
0.1236 0.3438 0.2471 O
0.8764 0.0967 0.7529 O
0.8764 0.6562 0.7529 O
0.5000 0.1719 0.0000 O
0.1236 0.9033 0.2471 O
0.5000 0.8281 0.0000 O
```

Output
Fermi-level density of states in states/eV per atom: 0.220
Calculated density in g/cm3: 5.542
Magnetization in μB per formula unit: 1.15


What should be chosen as the most stable of them? Choose version i.


Version i
A plane-wave DFT calculation with GGA-PBE was carried out for a relaxed BaIO2 crystal.

```
BaIO2
1.0
2.4238 0.0000 5.0021
-1.2119 2.0991 5.0021
-1.2119 -2.0991 5.0021
I Ba O
1 1 2
direct
0.5000 0.5000 0.5000 I
0.0000 0.0000 0.0000 Ba
0.7640 0.7640 0.7640 O
0.2360 0.2360 0.2360 O
```

Output
Fermi-level density of states in states/eV per atom: 1.115
Calculated density in g/cm3: 6.443
Magnetization in μB per formula unit: 0.00


Version ii
A plane-wave DFT calculation with GGA-PBE was carried out for a relaxed BaIO2 crystal.

```
BaIO2
1.0
0.0000 3.4717 3.4717
3.4717 0.0000 3.4717
3.4717 3.4717 0.0000
I Ba O
1 1 2
direct
0.0000 0.0000 0.0000 I
0.5000 0.5000 0.5000 Ba
0.2500 0.2500 0.2500 O
0.7500 0.7500 0.7500 O
```

Output
Fermi-level density of states in states/eV per atom: 0.495
Calculated density in g/cm3: 5.878
Magnetization in μB per formula unit: 2.97


Version iii
A plane-wave DFT calculation with GGA-PBE was carried out for a relaxed BaIO2 crystal.

```
BaIO2
1.0
-3.9992 1.3767 2.8313
-2.0733 -4.5963 -0.6936
0.3124 -4.0102 6.9660
I Ba O
2 2 4
direct
0.5000 0.5000 0.0000 I
0.2500 0.7500 0.5000 I
0.0000 0.0000 0.0000 Ba
0.7500 0.2500 0.5000 Ba
0.5668 0.1250 0.2500 O
0.1832 0.6250 0.2500 O
0.3750 0.4332 0.7500 O
0.8750 0.8168 0.7500 O
```

Output
Fermi-level density of states in states/eV per atom: 0.389
Calculated density in g/cm3: 5.279
Magnetization in μB per formula unit: 0.00


What should be chosen as the most stable of them? Choose version iii.


Version i
A plane-wave DFT calculation with GGA-PBE was carried out for a relaxed BaPI2O crystal.

```
BaPI2O
1.0
6.1312 0.0000 0.0000
0.0000 6.1312 0.0000
0.0000 0.0000 3.7794
I P Ba O
2 1 1 1
direct
0.0000 0.5000 0.0000 I
0.5000 0.0000 0.0000 I
0.0000 0.0000 0.0000 P
0.5000 0.5000 0.5000 Ba
0.0000 0.0000 0.5000 O
```

Output
Fermi-level density of states in states/eV per atom: 0.396
Calculated density in g/cm3: 5.120
Magnetization in μB per formula unit: 0.17


Version ii
A plane-wave DFT calculation with GGA-PBE was carried out for a relaxed BaPI2O crystal.

```
BaPI2O
1.0
6.9396 0.0000 0.0000
0.0000 6.9396 0.0000
0.0000 0.0000 4.5211
I P Ba O
2 1 1 1
direct
0.0000 0.5000 0.0000 I
0.5000 0.0000 0.0000 I
0.5000 0.5000 0.5000 P
0.0000 0.0000 0.0000 Ba
0.0000 0.0000 0.5000 O
```

Output
Fermi-level density of states in states/eV per atom: 1.536
Calculated density in g/cm3: 3.341
Magnetization in μB per formula unit: 1.68


What should be chosen as the most stable of them? Choose version i.


Version i
A plane-wave DFT calculation with GGA-PBE was carried out for a relaxed BaPbIO2 crystal.

```
BaPbIO2
1.0
-1.8199 0.0591 4.5450
-0.2719 -4.8884 -0.0453
6.2216 -0.3692 2.4961
Pb I Ba O
1 1 1 2
direct
0.5000 0.5000 0.5000 Pb
0.0000 0.0000 0.5000 I
0.0000 0.0000 0.0000 Ba
0.0000 0.5000 0.0000 O
0.5000 0.0000 0.0000 O
```

Output
Fermi-level density of states in states/eV per atom: 0.595
Calculated density in g/cm3: 5.194
Magnetization in μB per formula unit: 1.16


Version ii
A plane-wave DFT calculation with GGA-PBE was carried out for a relaxed BaPbIO2 crystal.

```
BaPbIO2
1.0
-4.6860 -3.8330 -0.7463
3.7171 -3.9753 -2.9227
-0.2769 -1.1753 7.7751
Ba Pb I O
2 2 2 4
direct
0.2500 0.6033 0.2065 Ba
0.7500 0.3967 0.7935 Ba
0.2500 0.9401 0.8801 Pb
0.7500 0.0599 0.1199 Pb
0.7500 0.7497 0.4994 I
0.2500 0.2503 0.5006 I
0.5000 0.2272 0.0000 O
0.0000 0.7728 0.0000 O
0.5000 0.7728 0.0000 O
0.0000 0.2272 0.0000 O
```

Output
Fermi-level density of states in states/eV per atom: 0.269
Calculated density in g/cm3: 6.131
Magnetization in μB per formula unit: 0.00


What should be chosen as the most stable of them? Choose version ii.


Version i
A plane-wave DFT calculation with GGA-PBE was carried out for a relaxed BaPbI2O crystal.

```
BaPbI2O
1.0
-5.7473 -3.6017 -0.1506
1.5168 -2.1591 -6.2502
2.1734 -3.5414 1.7508
Pb I Ba O
1 2 1 1
direct
0.5000 0.5000 0.5000 Pb
0.0000 0.5000 0.0000 I
0.5000 0.0000 0.0000 I
0.0000 0.0000 0.0000 Ba
0.0000 0.0000 0.5000 O
```

Output
Fermi-level density of states in states/eV per atom: 0.568
Calculated density in g/cm3: 4.916
Magnetization in μB per formula unit: 0.47


Version ii
A plane-wave DFT calculation with GGA-PBE was carried out for a relaxed BaPbI2O crystal.

```
BaPbI2O
1.0
-6.4265 0.4583 -0.5607
-0.7187 -3.4205 5.4413
0.0615 3.7762 2.3819
Pb I Ba O
1 2 1 1
direct
0.0000 0.0000 0.0000 Pb
0.0000 0.5000 0.0000 I
0.5000 0.0000 0.0000 I
0.5000 0.5000 0.5000 Ba
0.0000 0.0000 0.5000 O
```

Output
Fermi-level density of states in states/eV per atom: 0.366
Calculated density in g/cm3: 5.463
Magnetization in μB per formula unit: 0.00


What should be chosen as the most stable of them? Choose version ii.


Version i
A plane-wave DFT calculation with GGA-PBE was carried out for a relaxed BaPtI2O crystal.

```
BaPtI2O
1.0
-0.0385 -6.5455 1.4268
5.8835 0.6493 3.1375
-2.1153 0.8392 3.7930
I O Ba Pt
2 1 1 1
direct
0.0000 0.5000 0.0000 I
0.5000 0.0000 0.0000 I
0.0000 0.0000 0.5000 O
0.0000 0.0000 0.0000 Ba
0.5000 0.5000 0.5000 Pt
```

Output
Fermi-level density of states in states/eV per atom: 1.626
Calculated density in g/cm3: 5.037
Magnetization in μB per formula unit: 1.25


Version ii
A plane-wave DFT calculation with GGA-PBE was carried out for a relaxed BaPtI2O crystal.

```
BaPtI2O
1.0
5.8363 0.0000 0.0000
0.0000 5.8363 0.0000
0.0000 0.0000 4.0956
I O Ba Pt
2 1 1 1
direct
0.0000 0.5000 0.0000 I
0.5000 0.0000 0.0000 I
0.0000 0.0000 0.5000 O
0.5000 0.5000 0.5000 Ba
0.0000 0.0000 0.0000 Pt
```

Output
Fermi-level density of states in states/eV per atom: 0.488
Calculated density in g/cm3: 7.168
Magnetization in μB per formula unit: 0.67


What should be chosen as the most stable of them? Choose version ii.


Version i
A plane-wave DFT calculation with GGA-PBE was carried out for a relaxed BaReIO2 crystal.

```
BaReIO2
1.0
4.3056 0.0000 0.0000
0.0000 4.3056 0.0000
0.0000 0.0000 5.4229
I Re Ba O
1 1 1 2
direct
0.0000 0.0000 0.5000 I
0.0000 0.0000 0.0000 Re
0.5000 0.5000 0.5000 Ba
0.0000 0.5000 0.0000 O
0.5000 0.0000 0.0000 O
```

Output
Fermi-level density of states in states/eV per atom: 0.791
Calculated density in g/cm3: 7.969
Magnetization in μB per formula unit: 0.16


Version ii
A plane-wave DFT calculation with GGA-PBE was carried out for a relaxed BaReIO2 crystal.

```
BaReIO2
1.0
-2.4464 0.4537 -3.7470
0.5438 -4.3763 -0.8849
-5.9660 -1.4925 3.7146
I Re Ba O
1 1 1 2
direct
0.0000 0.0000 0.5000 I
0.5000 0.5000 0.5000 Re
0.0000 0.0000 0.0000 Ba
0.0000 0.5000 0.0000 O
0.5000 0.0000 0.0000 O
```

Output
Fermi-level density of states in states/eV per atom: 0.602
Calculated density in g/cm3: 5.512
Magnetization in μB per formula unit: 4.91


What should be chosen as the most stable of them? Choose version i.